# ZrAg2GeBi | the Alexandria database | PBEsol | optimized geometry
data_ZrAg2GeBi
_chemical_formula_sum 'Zr1 Ag2 Ge1 Bi1'
_cell_length_a 4.652
_cell_length_b 4.652
_cell_length_c 5.632
_cell_angle_alpha 90.00
_cell_angle_beta 90.00
_cell_angle_gamma 90.00
_symmetry_space_group_name_H-M 'P 4/m m m'
_symmetry_Int_Tables_number 123
_symmetry_space_group_name_Hall '-P 4 2'
loop_
_atom_site_label
_atom_site_type_symbol
_atom_site_fract_x
_atom_site_fract_y
_atom_site_fract_z
Zr1 Zr 0.000 0.000 0.000
Ag1 Ag 0.000 0.500 0.500
Ge1 Ge 0.500 0.500 0.500
Bi1 Bi 0.500 0.500 0.000
# DOS at the Fermi energy = 0.677 states/eV/atom
# Formation energy from the elements = 61 kJ per mole of atoms